# 1
## Na2SbPd3 (PBE-GGA)

Data for an optimized crystal structure of Na2SbPd3.

Its volume is 118 Å³/f.u. Its uncorrected formation energy is -0.437 eV per atom.

The structure belongs to space group R-3m (No. 166, hexagonal axes); the cell edges are 5.6989, 5.6989 and 12.6099 Å and the angles 90.00°, 90.00° and 120.00°. The inequivalent atoms are Na at (0.0000, 0.0000, 0.1225), Sb at (0.0000, 0.0000, 0.5000) and Pd at (0.0000, 0.5000, 0.0000).


# 2
## NaSb3Pd (PBE-GGA)

Data for an optimized crystal structure of NaSb3Pd.

Its volume is 130 Å³/f.u. Its uncorrected formation energy is -0.272 eV per atom.

The structure belongs to space group Pmn2_1 (No. 31); the cell edges are 7.002, 6.065 and 6.139 Å and the angles 90.00°, 90.00° and 90.00°. The inequivalent atoms are Na at (0.000, 0.201, 0.000), Sb at (0.000, 0.888, 0.598), Sb at (0.248, 0.291, 0.481) and Pd at (0.000, 0.576, 0.289).


# 3
## NaSb4Pd6 (PBE-GGA)

Data for an optimized crystal structure of NaSb4Pd6.

Its volume is 234 Å³/f.u. Its uncorrected formation energy is -0.378 eV per atom.

The structure belongs to space group I-42m (No. 121); the cell edges are 6.916, 6.916 and 9.803 Å and the angles 90.00°, 90.00° and 90.00°. The inequivalent atoms are Na at (0.000, 0.000, 0.000), Sb at (0.221, 0.221, 0.346), Pd at (0.000, 0.500, 0.000) and Pd at (0.155, 0.155, 0.612).


# 4
## NaSb2Pd5 (PBE-GGA)

Data for an optimized crystal structure of NaSb2Pd5.

Its volume is 158 Å³/f.u. Its uncorrected formation energy is -0.372 eV per atom.

The structure belongs to space group Immm (No. 71); the cell edges are 4.008, 7.674 and 10.276 Å and the angles 90.00°, 90.00° and 90.00°. The inequivalent atoms are Na at (0.000, 0.000, 0.000), Sb at (0.000, 0.500, 0.255), Pd at (0.000, 0.189, 0.356) and Pd at (0.000, 0.500, 0.000).


# 5
## Na2Sb3Pd (PBE-GGA)

Data for an optimized crystal structure of Na2Sb3Pd.

Its volume is 167 Å³/f.u. Its uncorrected formation energy is -0.142 eV per atom.

The structure belongs to space group Immm (No. 71); the cell edges are 4.297, 5.675 and 13.731 Å and the angles 90.00°, 90.00° and 90.00°. The inequivalent atoms are Na at (0.000, 0.000, 0.204), Sb at (0.000, 0.500, 0.115), Sb at (0.000, 0.500, 0.500) and Pd at (0.000, 0.000, 0.500).


# 6
## NaSbPd (PBE-GGA)

Data for an optimized crystal structure of NaSbPd.

Its volume is 68 Å³/f.u. Its uncorrected formation energy is -0.311 eV per atom.

The structure belongs to space group F-43m (No. 216); the cell edges are 6.482, 6.482 and 6.482 Å and the angles 90.00°, 90.00° and 90.00°. The inequivalent atoms are Na at (0.000, 0.000, 0.000), Sb at (0.000, 0.000, 0.500) and Pd at (0.250, 0.250, 0.750).


# 7
## NaSbPd2 (PBE-GGA)

Data for an optimized crystal structure of NaSbPd2.

Its volume is 90 Å³/f.u. Its uncorrected formation energy is -0.374 eV per atom.

The structure belongs to space group R-3m (No. 166, hexagonal axes); the cell edges are 4.5787, 4.5787 and 14.9135 Å and the angles 90.00°, 90.00° and 120.00°. The inequivalent atoms are Na at (0.0000, 0.0000, 0.0000), Sb at (0.0000, 0.0000, 0.5000) and Pd at (0.0000, 0.0000, 0.1982).


# 8
## Na2Sb2Pd (PBE-GGA)

Data for an optimized crystal structure of Na2Sb2Pd.

Its volume is 127 Å³/f.u. Its uncorrected formation energy is -0.408 eV per atom.

The structure belongs to space group C2/m (No. 12); the cell edges are 11.220, 4.724 and 10.909 Å and the angles 90.00°, 118.17° and 90.00°. The inequivalent atoms are Na at (0.003, 0.000, 0.176), Na at (0.184, 0.000, 0.602), Sb at (0.016, 0.500, 0.378), Sb at (0.149, 0.500, 0.063) and Pd at (0.222, 0.500, 0.858).


# 9
## NaSb5Pd3 (PBE-GGA)

Data for an optimized crystal structure of NaSb5Pd3.

Its volume is 233 Å³/f.u. Its uncorrected formation energy is -0.219 eV per atom.

The structure belongs to space group C2/m (No. 12); the cell edges are 9.880, 8.831 and 11.664 Å and the angles 90.00°, 113.94° and 90.00°. The inequivalent atoms are Na at (0.041, 0.000, 0.257), Sb at (0.000, 0.300, 0.000), Sb at (0.158, 0.500, 0.436), Sb at (0.184, 0.202, 0.662), Sb at (0.201, 0.500, 0.913), Pd at (0.000, 0.000, 0.000), Pd at (0.000, 0.000, 0.500), Pd at (0.141, 0.500, 0.663) and Pd at (0.204, 0.500, 0.152).


# 10
## NaSb3Pd (PBE-GGA)

Data for an optimized crystal structure of NaSb3Pd.

Its volume is 152 Å³/f.u. Its uncorrected formation energy is 0.108 eV per atom.

The structure belongs to space group Pm-3m (No. 221); the cell edges are 5.334, 5.334 and 5.334 Å and the angles 90.00°, 90.00° and 90.00°. The inequivalent atoms are Na at (0.000, 0.000, 0.000), Sb at (0.000, 0.500, 0.500) and Pd at (0.500, 0.500, 0.500).


# 11
## NaSb2Pd4 (PBE-GGA)

Data for an optimized crystal structure of NaSb2Pd4.

Its volume is 139 Å³/f.u. Its uncorrected formation energy is -0.436 eV per atom.

The structure belongs to space group P4_2/mnm (No. 136); the cell edges are 8.155, 8.155 and 4.174 Å and the angles 90.00°, 90.00° and 90.00°. The inequivalent atoms are Na at (0.000, 0.000, 0.000), Sb at (0.224, 0.224, 0.500) and Pd at (0.083, 0.659, 0.500).


# 12
## Na2Sb2Pd3 (PBE-GGA)

Data for an optimized crystal structure of Na2Sb2Pd3.

Its volume is 143 Å³/f.u. Its uncorrected formation energy is -0.382 eV per atom.

The structure belongs to space group P2_1/c (No. 14); the cell edges are 7.309, 6.564 and 6.675 Å and the angles 90.00°, 117.02° and 90.00°. The inequivalent atoms are Na at (0.229, 0.249, 0.365), Sb at (0.261, 0.750, 0.381), Pd at (0.000, 0.000, 0.000) and Pd at (0.499, 0.512, 0.251).